# TcTeH3

A geometry-optimized TcTeH3 structure (PBE-GGA, the Alexandria database).

Uncorrected energy: -0.310 Ry/atom
Density: 7680 kg/m3
Symmetry: Pm-3m, No. 221
Energy above the most stable polymorph in this dataset: 0.0 meV per atom

abc: 3.670 3.670 3.670
angles: 90.00 90.00 90.00
Positions (direct):
H  0.500  0.000  0.000
H  0.000  0.500  0.000
H  0.000  0.000  0.500
Tc  0.000  0.000  0.000
Te  0.500  0.500  0.500

---

# CuRhCl3

A geometry-optimized CuRhCl3 structure (PBE-GGA, the Alexandria database).

Uncorrected energy: -0.221 Ry/atom
Density: 4352 kg/m3
Symmetry: Pm-3m, No. 221
Energy above the most stable polymorph in this dataset: 303.5 meV per atom
Uncorrected formation energy: 395 meV/atom

abc: 4.704 4.704 4.704
angles: 90.00 90.00 90.00
Each line ends with the local moment (μB).
Positions (direct):
Cl  0.000  0.000  0.500  0.00
Cl  0.500  0.000  0.000  -0.01
Cl  0.000  0.500  0.000  -0.04
Rh  0.500  0.500  0.500  0.06
Cu  0.000  0.000  0.000  -0.02

---

# CsTl2TeS4

A geometry-optimized CsTl2TeS4 structure (PBE-GGA, the Alexandria database).

Uncorrected energy: -0.250 Ry/atom
Density: 5790 kg/m3
Symmetry: C2/c, No. 15
Uncorrected formation energy: -248 meV/atom

abc: 8.469 8.469 8.329
angles: 117.23 117.23 89.28
Positions (direct):
S  0.318  0.778  0.564
S  0.766  0.809  0.023
S  0.234  0.191  0.977
S  0.691  0.734  0.477
S  0.682  0.222  0.436
S  0.309  0.266  0.523
S  0.278  0.818  0.064
S  0.722  0.182  0.936
Cs  0.000  0.500  0.000
Cs  0.000  0.500  0.500
Tl  0.500  0.000  0.500
Tl  0.500  0.000  0.000
Tl  0.500  0.500  0.000
Tl  0.000  0.000  0.500
Te  0.000  0.000  0.000
Te  0.500  0.500  0.500

---

# Li3Cu8

A geometry-optimized Li3Cu8 structure (PBE-GGA, the Alexandria database).

Uncorrected energy: -0.260 Ry/atom
Density: 6491 kg/m3
Symmetry: C2/m, No. 12
Formation energy: -0.04 eV/atom

abc: 2.560 5.844 10.705
angles: 119.14 90.00 102.65
Positions (direct):
Cu  0.824  0.648  0.735
Cu  0.176  0.352  0.265
Cu  0.733  0.466  0.092
Cu  0.641  0.281  0.448
Cu  0.454  0.909  0.183
Cu  0.546  0.091  0.817
Cu  0.359  0.719  0.552
Cu  0.267  0.534  0.908
Li  0.000  0.000  0.000
Li  0.095  0.189  0.636
Li  0.905  0.811  0.364

---

# CeCdSb2

A geometry-optimized CeCdSb2 structure (PBE-GGA, the Alexandria database).

Uncorrected energy: -0.321 Ry/atom
Density: 7959 kg/m3
Symmetry: P4/mmm, No. 123
Energy above the most stable polymorph in this dataset: 0.0 meV per atom
Uncorrected formation energy: -592 meV/atom

abc: 4.200 4.964 4.964
angles: 90.00 90.00 90.00
Positions (direct):
Cd  0.500  0.000  0.000
Sb  0.000  0.500  0.000
Sb  0.000  0.000  0.500
Ce  0.500  0.500  0.500

---

# HRhS3

A geometry-optimized HRhS3 structure (PBE-GGA, the Alexandria database).

Uncorrected energy: -0.265 Ry/atom
Density: 5268 kg/m3
Symmetry: Pm-3m, No. 221
Energy above the most stable polymorph in this dataset: 9.7 meV per atom

abc: 3.981 3.981 3.981
angles: 90.00 90.00 90.00
Positions (direct):
S  0.000  0.500  0.000
S  0.000  0.000  0.500
S  0.500  0.000  0.000
H  0.000  0.000  0.000
Rh  0.500  0.500  0.500

---

Which D(E_F) belongs to each record? In order, 0.6, 13.3, 2.3, 2.6, 4.0, 3.4 states/eV per cell.